[1]
The following is a DFT calculation (GGA-PBEsol) of a relaxed structure of CaTaRe2.

Structure (POSCAR):
```
CaTaRe2
1.0
-1.695 -2.482 -0.372
0.135 -1.551 -2.597
6.143 -6.400 2.376
Ca Re Ta
1 2 1
direct
0.000 0.000 0.000 Ca
0.240 0.240 0.279 Re
0.760 0.760 0.721 Re
0.500 0.500 0.500 Ta
```

Energy relative to the elements (eV/atom): 0.554
Total magnetization (μB per cell): 0.00
Electronic total energy (eV/atom): -9.78
Space-group type: R-3m

=====

[2]
The following is a DFT calculation (GGA-PBEsol) of a relaxed structure of CaTaRe2.

Structure (POSCAR):
```
CaTaRe2
1.0
2.866 0.000 0.000
1.433 2.482 0.000
1.433 0.827 9.878
Ta Re Ca
1 2 1
direct
0.491 0.491 0.526 Ta
0.009 0.009 0.973 Re
0.745 0.745 0.766 Re
0.255 0.255 0.236 Ca
```

Energy relative to the elements (eV/atom): 0.544
Total magnetization (μB per cell): 0.00
Electronic total energy (eV/atom): -9.79
Space-group type: R3m

=====

[3]
The following is a DFT calculation (GGA-PBEsol) of a relaxed structure of CaTaReTe2.

Structure (POSCAR):
```
CaTaReTe2
1.0
4.920 0.000 0.000
0.000 5.321 0.000
0.000 0.000 5.321
Re Ca Te Ta
1 1 2 1
direct
0.500 0.500 0.500 Re
0.000 0.000 0.000 Ca
0.000 0.500 0.000 Te
0.000 0.000 0.500 Te
0.500 0.000 0.000 Ta
```

Total magnetization (μB per cell): 2.41
Electronic total energy (eV/atom): -4.63
Formation energy from raw total energies (eV/atom): 2.39
Space-group type: P4/mmm

=====

[4]
The following is a DFT calculation (GGA-PBEsol) of a relaxed structure of CaReTe.

Structure (POSCAR):
```
CaReTe
1.0
4.779 0.000 0.000
2.390 4.139 0.000
2.390 1.380 3.902
Te Re Ca
1 1 1
direct
0.500 0.500 0.500 Te
0.000 0.000 0.000 Re
0.250 0.250 0.250 Ca
```

Total magnetization (μB per cell): 2.31
Electronic total energy (eV/atom): -4.97
Formation energy from raw total energies (eV/atom): 1.36
Space-group type: F-43m

=====

[5]
The following is a DFT calculation (GGA-PBEsol) of a relaxed structure of CaReTe.

Structure (POSCAR):
```
CaReTe
1.0
-2.616 -2.674 -2.693
1.900 -3.514 -2.301
-0.916 -4.340 1.254
Ca Te Re
1 1 1
direct
0.000 0.000 0.000 Ca
0.250 0.250 0.250 Te
0.500 0.500 0.500 Re
```

Total magnetization (μB per cell): 1.34
Electronic total energy (eV/atom): -5.69
Formation energy from raw total energies (eV/atom): 0.64
Space-group type: F-43m

=====

[6]
The following is a DFT calculation (GGA-PBEsol) of a relaxed structure of CaReTe3.

Structure (POSCAR):
```
CaReTe3
1.0
-0.584 5.259 0.454
-0.157 -0.473 5.288
5.276 0.568 0.207
Te Ca Re
3 1 1
direct
0.000 0.500 0.000 Te
0.000 0.000 0.500 Te
0.500 0.000 0.000 Te
0.500 0.500 0.500 Ca
0.000 0.000 0.000 Re
```

Total magnetization (μB per cell): 1.92
Electronic total energy (eV/atom): -5.03
Formation energy from raw total energies (eV/atom): 0.18
Space-group type: Pm-3m

=====

[7]
The following is a DFT calculation (GGA-PBEsol) of a relaxed structure of Ca2ReTe2.

Structure (POSCAR):
```
Ca2ReTe2
1.0
4.410 0.000 0.000
0.000 7.390 0.000
0.000 0.000 7.390
Te Ca Re
4 4 2
direct
0.000 0.339 0.839 Te
0.000 0.839 0.661 Te
0.000 0.661 0.161 Te
0.000 0.161 0.339 Te
0.500 0.657 0.843 Ca
0.500 0.343 0.157 Ca
0.500 0.157 0.657 Ca
0.500 0.843 0.343 Ca
0.000 0.000 0.000 Re
0.000 0.500 0.500 Re
```

Total magnetization (μB per cell): 0.00
Electronic total energy (eV/atom): -5.19
Formation energy from raw total energies (eV/atom): -0.26
Space-group type: P4/mbm

=====

[8]
The following is a DFT calculation (GGA-PBEsol) of a relaxed structure of CaReTe2W.

Structure (POSCAR):
```
CaReTe2W
1.0
5.090 0.000 0.000
0.000 5.090 0.000
0.000 0.000 5.367
Ca W Te Re
1 1 2 1
direct
0.000 0.000 0.500 Ca
0.500 0.500 0.500 W
0.000 0.500 0.000 Te
0.500 0.000 0.000 Te
0.000 0.000 0.000 Re
```

Total magnetization (μB per cell): 4.00
Electronic total energy (eV/atom): -5.70
Formation energy from raw total energies (eV/atom): 1.56
Space-group type: P4/mmm

=====

[9]
The following is a DFT calculation (GGA-PBEsol) of a relaxed structure of Ca2TlRe.

Structure (POSCAR):
```
Ca2TlRe
1.0
-3.089 -0.667 -0.749
-1.391 -2.715 1.114
-4.569 3.839 8.383
Re Ca Tl
1 2 1
direct
0.500 0.500 0.500 Re
0.242 0.242 0.274 Ca
0.758 0.758 0.726 Ca
0.000 0.000 0.000 Tl
```

Energy relative to the elements (eV/atom): 0.568
Total magnetization (μB per cell): 0.72
Electronic total energy (eV/atom): -4.49
Space-group type: R-3m

=====

[10]
The following is a DFT calculation (GGA-PBEsol) of a relaxed structure of Ca2TlRe.

Structure (POSCAR):
```
Ca2TlRe
1.0
4.460 0.000 0.000
0.000 4.460 0.000
-2.230 -2.230 4.448
Re Tl Ca
1 1 2
direct
0.500 0.500 0.000 Re
0.250 0.750 0.500 Tl
0.000 0.000 0.000 Ca
0.750 0.250 0.500 Ca
```

Energy relative to the elements (eV/atom): 0.540
Total magnetization (μB per cell): 0.00
Electronic total energy (eV/atom): -4.52
Space-group type: I-4m2

=====

[11]
The following is a DFT calculation (GGA-PBEsol) of a relaxed structure of CaTlRe.

Structure (POSCAR):
```
CaTlRe
1.0
-1.904 3.900 -2.053
-4.748 0.706 0.130
-1.833 3.498 2.731
Re Ca Tl
1 1 1
direct
0.000 0.000 0.000 Re
0.250 0.250 0.250 Ca
0.500 0.500 0.500 Tl
```

Energy relative to the elements (eV/atom): 1.652
Total magnetization (μB per cell): 2.32
Electronic total energy (eV/atom): -4.38
Space-group type: F-43m

=====

[12]
The following is a DFT calculation (GGA-PBEsol) of a relaxed structure of CaReW.

Structure (POSCAR):
```
CaReW
1.0
4.412 0.000 0.000
2.206 3.821 0.000
2.206 1.274 3.602
W Ca Re
1 1 1
direct
0.000 0.000 0.000 W
0.500 0.500 0.500 Ca
0.750 0.750 0.750 Re
```

Energy relative to the elements (eV/atom): 1.125
Total magnetization (μB per cell): 0.00
Electronic total energy (eV/atom): -8.63
Space-group type: F-43m

=====

[13]
The following is a DFT calculation (GGA-PBEsol) of a relaxed structure of CaYRe.

Structure (POSCAR):
```
CaYRe
1.0
-2.620 -1.414 -0.453
1.750 -4.015 2.414
-2.379 3.598 2.530
Re Ca Y
1 1 1
direct
0.501 0.333 0.667 Re
0.000 0.000 0.000 Ca
0.499 0.667 0.333 Y
```

Energy relative to the elements (eV/atom): 0.579
Total magnetization (μB per cell): 0.00
Electronic total energy (eV/atom): -6.85
Space-group type: P-6m2

=====

[14]
The following is a DFT calculation (GGA-PBEsol) of a relaxed structure of Ca3YRe.

Structure (POSCAR):
```
Ca3YRe
1.0
5.439 0.000 0.000
0.000 5.439 0.000
0.000 0.000 5.439
Ca Re Y
3 1 1
direct
0.000 0.000 0.500 Ca
0.000 0.500 0.000 Ca
0.500 0.000 0.000 Ca
0.500 0.500 0.500 Re
0.000 0.000 0.000 Y
```

Energy relative to the elements (eV/atom): 2.055
Total magnetization (μB per cell): 3.67
Electronic total energy (eV/atom): -3.26
Space-group type: Pm-3m

=====

[15]
The following is a DFT calculation (GGA-PBEsol) of a relaxed structure of CaZn2Re.

Structure (POSCAR):
```
CaZn2Re
1.0
-2.199 1.656 0.361
-1.965 -1.820 -3.621
-1.545 -4.191 2.945
Re Zn Ca
1 2 1
direct
0.233 0.500 0.813 Re
0.914 0.500 0.249 Zn
0.859 0.000 0.965 Zn
0.494 0.000 0.473 Ca
```

Energy relative to the elements (eV/atom): 0.350
Total magnetization (μB per cell): 0.00
Electronic total energy (eV/atom): -4.31
Space-group type: Pm

=====

[16]
The following is a DFT calculation (GGA-PBEsol) of a relaxed structure of CaZr2Re.

Structure (POSCAR):
```
CaZr2Re
1.0
-2.021 0.023 2.479
-1.514 -2.685 0.854
6.221 -3.135 7.163
Re Ca Zr
1 1 2
direct
0.257 0.257 0.228 Re
0.512 0.512 0.464 Ca
0.989 0.989 0.033 Zr
0.742 0.742 0.775 Zr
```

Energy relative to the elements (eV/atom): 0.420
Total magnetization (μB per cell): 0.00
Electronic total energy (eV/atom): -7.99
Space-group type: R3m

=====

[17]
The following is a DFT calculation (GGA-PBEsol) of a relaxed structure of CaZrRe2.

Structure (POSCAR):
```
CaZrRe2
1.0
-1.263 -0.590 2.855
-1.132 -4.312 -1.391
4.163 -1.581 1.515
Re Zr Ca
2 1 1
direct
0.500 0.000 0.500 Re
0.000 0.000 0.000 Re
0.500 0.500 0.000 Zr
0.000 0.500 0.500 Ca
```

Energy relative to the elements (eV/atom): 0.607
Total magnetization (μB per cell): 0.00
Electronic total energy (eV/atom): -8.87
Space-group type: Pmmm

=====

[18]
The following is a DFT calculation (GGA-PBEsol) of a relaxed structure of CaZr2Re.

Structure (POSCAR):
```
CaZr2Re
1.0
-2.478 0.448 2.014
-1.398 -0.521 -4.185
-0.052 -6.836 1.456
Ca Re Zr
1 1 2
direct
0.000 0.000 0.500 Ca
0.500 0.000 0.000 Re
0.229 0.458 0.184 Zr
0.771 0.542 0.816 Zr
```

Energy relative to the elements (eV/atom): 0.307
Total magnetization (μB per cell): 0.00
Electronic total energy (eV/atom): -8.10
Space-group type: C2/m

=====

[19]
The following is a DFT calculation (GGA-PBEsol) of a relaxed structure of Ca2ZrRe.

Structure (POSCAR):
```
Ca2ZrRe
1.0
3.409 0.000 0.000
1.705 2.952 0.000
1.705 0.984 10.341
Re Zr Ca
1 1 2
direct
0.508 0.508 0.477 Re
0.230 0.230 0.309 Zr
0.993 0.993 0.020 Ca
0.768 0.768 0.695 Ca
```

Energy relative to the elements (eV/atom): 0.441
Total magnetization (μB per cell): 0.00
Electronic total energy (eV/atom): -6.23
Space-group type: R3m

=====

[20]
The following is a DFT calculation (GGA-PBEsol) of a relaxed structure of CaRh3.

Structure (POSCAR):
```
CaRh3
1.0
-2.190 -1.520 -0.750
0.352 -2.095 3.218
-3.604 3.783 2.858
Rh Ca
3 1
direct
0.500 0.500 0.287 Rh
0.000 0.000 0.500 Rh
0.500 0.500 0.713 Rh
0.000 0.000 0.000 Ca
```

Energy relative to the elements (eV/atom): 0.065
Total magnetization (μB per cell): 0.00
Electronic total energy (eV/atom): -6.57
Space-group type: Pmmm